[1]
GePt3S: optimized geometry, PBE.

Structure (POSCAR):
```
GePt3S
1.0
-1.7946 3.2035 -2.8705
2.8175 -1.4747 -3.4073
-3.2502 -3.0472 -1.3688
Ge S Pt
1 1 3
Direct
0.0000 0.0000 0.0000
0.5000 0.5000 0.5000
0.0000 0.5000 0.0000
0.0000 0.0000 0.5000
0.5000 0.0000 0.0000
```

Computed properties:
- DFT total energy (eV/atom) = -4.55
- total magnetic moment (Bohr magnetons per cell) = 0.00


[2]
Ac5PmSm4: optimized geometry, PBE.

Structure (POSCAR):
```
Ac5PmSm4
1.0
-5.0334 -0.6179 2.0890
-0.1795 -10.5066 3.6594
1.2177 -5.0162 8.6500
Ac Pm Sm
5 1 4
Direct
0.2002 0.8997 0.7000
0.7998 0.1003 0.3000
0.3998 0.3008 0.8996
0.0000 0.5000 0.5000
0.6002 0.6992 0.1004
0.0000 0.0000 0.0000
0.6000 0.1996 0.6004
0.1999 0.3998 0.2004
0.8001 0.6002 0.7996
0.4000 0.8004 0.3996
```

Computed properties:
- total magnetic moment (Bohr magnetons per cell) = 0.00
- formation energy from the elements (meV/atom) = 33


[3]
CaHg12Pb3: optimized geometry, PBE.

Structure (POSCAR):
```
CaHg12Pb3
1.0
-0.9004 1.6627 4.3125
-4.2383 -2.0495 -0.0947
7.5232 -15.9141 7.7066
Ca Hg Pb
1 12 3
Direct
0.0000 0.0000 0.0000
0.5000 0.5000 0.0000
0.5000 0.5000 0.2462
0.5000 0.5000 0.5000
0.5000 0.5000 0.7538
0.5000 0.0000 0.1193
0.5000 0.0000 0.3728
0.5000 0.0000 0.6272
0.5000 0.0000 0.8807
0.0000 0.5000 0.1193
0.0000 0.5000 0.3728
0.0000 0.5000 0.6272
0.0000 0.5000 0.8807
0.0000 0.0000 0.2454
0.0000 0.0000 0.5000
0.0000 0.0000 0.7546
```

Computed properties:
- total magnetic moment (Bohr magnetons per cell) = 0.00
- formation energy from the elements (meV/atom) = -71


[4]
LiPr12Tl6: optimized geometry, PBE.

Structure (POSCAR):
```
LiPr12Tl6
1.0
-3.2512 6.7640 3.8023
-7.5521 -3.7032 0.1758
1.7886 -3.3378 7.5126
Li Pr Tl
1 12 6
Direct
0.0000 0.0000 0.0000
0.8101 0.5319 0.4353
0.4353 0.8101 0.5319
0.5319 0.4353 0.8101
0.1899 0.4681 0.5647
0.5647 0.1899 0.4681
0.4681 0.5647 0.1899
0.0632 0.1141 0.3699
0.8859 0.6301 0.9368
0.6301 0.9368 0.8859
0.9368 0.8859 0.6301
0.1141 0.3699 0.0632
0.3699 0.0632 0.1141
0.7324 0.8784 0.2591
0.7409 0.2676 0.1216
0.1216 0.7409 0.2676
0.2676 0.1216 0.7409
0.2591 0.7324 0.8784
0.8784 0.2591 0.7324
```

Computed properties:
- total magnetic moment (Bohr magnetons per cell) = 0.00
- formation energy from the elements (meV/atom) = -163


[5]
Nb2Cu2Mo: optimized geometry, PBE.

Structure (POSCAR):
```
Nb2Cu2Mo
1.0
6.8672 0.0000 0.0000
0.0000 6.8672 0.0000
0.0000 0.0000 3.2896
Mo Nb Cu
2 4 4
Direct
0.0000 0.0000 0.0000
0.5000 0.5000 0.0000
0.1811 0.6811 0.5000
0.6811 0.8189 0.5000
0.8189 0.3189 0.5000
0.3189 0.1811 0.5000
0.3797 0.8797 0.0000
0.8797 0.6203 0.0000
0.6203 0.1203 0.0000
0.1203 0.3797 0.0000
```

Computed properties:
- total magnetic moment (Bohr magnetons per cell) = 0.00
- formation energy from the elements (meV/atom) = 239


[6]
HoIrPb: optimized geometry, PBE.

Structure (POSCAR):
```
HoIrPb
1.0
-3.9578 0.7134 2.4794
-2.9917 -3.5778 0.7551
-0.4388 -1.8386 4.3298
Pb Ir Ho
1 1 1
Direct
0.0000 0.0000 0.0000
0.2500 0.2500 0.2500
0.5000 0.5000 0.5000
```

Computed properties:
- total magnetic moment (Bohr magnetons per cell) = 0.00
- formation energy from the elements (meV/atom) = -455


[7]
Zr2TcTe: optimized geometry, PBE.

Structure (POSCAR):
```
Zr2TcTe
1.0
4.4174 0.0000 0.0000
0.0000 3.5632 0.0038
0.0000 1.7754 5.3098
Tc Te Zr
1 1 2
Direct
0.0000 0.7221 0.4334
0.5000 0.5458 0.7829
0.0000 0.9646 0.9448
0.5000 0.2675 0.3389
```

Computed properties:
- DFT total energy (eV/atom) = -8.04
- total magnetic moment (Bohr magnetons per cell) = 0.00


[8]
LaCdNF2: optimized geometry, PBE.

Structure (POSCAR):
```
LaCdNF2
1.0
4.2686 0.0000 0.0000
0.0000 4.2686 0.0000
0.0000 0.0000 4.5331
N F Cd La
1 2 1 1
Direct
0.0000 0.0000 0.5000
0.0000 0.5000 0.0000
0.5000 0.0000 0.0000
0.0000 0.0000 0.0000
0.5000 0.5000 0.5000
```

Computed properties:
- DFT total energy (eV/atom) = -5.06
- total magnetic moment (Bohr magnetons per cell) = 0.00


Which formula does entry 6 have? HoIrPb


Which value of total magnetic moment does entry 6 give? 0.00 Bohr magnetons per cell